Material: YAlCd2Au4
Method: DFT, PBE
State: optimized geometry

As for the total energy: -3.5679 eV/atom. As for the size of the total moment: 0.00 μB per cell. For the volume, the calculation gives 478.5 Å³ per cell. The energy relative to the elements comes out at -0.4246 eV/atom. As for the crystal system: trigonal.

The structure belongs to space group R-3m (No. 166, hexagonal axes); the cell edges are 4.7175, 4.7175 and 24.8253 Å and the angles 90.00°, 90.00° and 120.00°. The distinct sites, in fractional coordinates, are Y at (0.0000, 0.0000, 0.0000), Al at (0.0000, 0.0000, 0.5000), Cd at (0.0000, 0.0000, 0.2512), Au at (0.0000, 0.0000, 0.1318) and Au at (0.0000, 0.0000, 0.3899).